A relaxed structure of CrInAuBr2. Source: Alexandria, functional PBE.

abc: 5.3564 5.3564 6.5247
angles: 90.00 90.00 90.00
With the nearest neighbours (Å) after each atom.
Space group P4/mmm (No. 123)
Asymmetric unit:
Cr (0.0000, 0.0000, 0.0000)  2 In 3.26
In (0.0000, 0.0000, 0.5000)  4 Br 2.68
Au (0.5000, 0.5000, 0.0000)  4 Cr 3.79, 8 Br 4.22
Br (0.0000, 0.5000, 0.5000)  2 In 2.68

Values from the calculation:
- Spin magnetization: 0.98 μB per atom
- Distance to the lowest polymorph of the same formula: 210 meV/atom
- Energy: -0.1149 hartree per atom
- Formation energy (no corrections): 0.67 eV per atom

***

A relaxed structure of MgTa2Ir. Source: Alexandria, functional PBE.

abc: 2.8488 4.4478 5.5589
angles: 90.00 103.28 90.00
With the nearest neighbours (Å) after each atom.
Space group Pm (No. 6)
Asymmetric unit:
Mg (0.0000, 0.0000, 0.0000)  2 Ir 2.72, 4 Ta 2.83-2.88, 2 Mg 2.85
Ta (0.3761, 0.0000, 0.5229)  2 Ir 2.69, 2 Mg 2.83-2.86, 4 Ta 2.85-2.93
Ta (0.6785, 0.5000, 0.2504)  2 Ir 2.79-2.85, 4 Ta 2.85-2.93, 4 Mg 2.88-3.06
Ir (0.1856, 0.5000, 0.7555)  4 Ta 2.69-2.85, 2 Mg 2.72, 2 Ir 2.85

Values from the calculation:
- Spin magnetization: 0.00 μB per atom
- Energy relative to the elements: -71 meV per atom
- Energy: -0.3165 hartree per atom

***

A relaxed structure of HgSeO4. Source: Alexandria, functional PBE.

abc: 9.0389 8.2839 5.8107
angles: 90.00 114.90 90.00
With the nearest neighbours (Å) after each atom.
Space group C2/c (No. 15)
Asymmetric unit:
Hg (0.2500, 0.2500, 0.0000)  2 O 2.11
Se (0.0000, 0.1675, 0.2500)  4 O 1.65-1.73
O (0.0326, 0.2957, 0.0398)  1 Se 1.73
O (0.1689, 0.0655, 0.4107)  1 Se 1.65

Values from the calculation:
- Spin magnetization: 0.00 μB per atom
- Energy: -0.1626 hartree per atom
- Formation energy (no corrections): -0.49 eV per atom

***

A relaxed structure of SrMnFe2As. Source: Alexandria, functional PBE.

abc: 4.3607 4.3607 5.5587
angles: 90.00 90.00 90.00
With the nearest neighbours (Å) after each atom.
Space group P4/mmm (No. 123)
Asymmetric unit:
Sr (0.0000, 0.0000, 0.0000)  2 Mn 2.78, 4 As 3.08
Mn (0.0000, 0.0000, 0.5000)  4 Fe 2.18
Fe (0.0000, 0.5000, 0.5000)  2 Mn 2.18
As (0.5000, 0.5000, 0.0000)  4 Sr 3.08

Values from the calculation:
- Spin magnetization: 0.53 μB per atom
- Energy relative to the elements: 951 meV per atom
- Energy: -0.2034 hartree per atom

***

A relaxed structure of V2Sb2W. Source: Alexandria, functional PBE.

abc: 7.3936 7.3936 3.2306
angles: 90.00 90.00 90.00
With the nearest neighbours (Å) after each atom.
Space group P4/mbm (No. 127)
Asymmetric unit:
V (0.1348, 0.3652, 0.0000)  6 Sb 2.69-2.71, 1 V 2.82
Sb (0.1591, 0.6591, 0.5000)  6 V 2.69-2.71, 2 W 2.78
W (0.0000, 0.0000, 0.5000)  4 Sb 2.78

Values from the calculation:
- Spin magnetization: 0.02 μB per atom
- Distance to the lowest polymorph of the same formula: 0 meV/atom
- Energy: -0.2731 hartree per atom
- Formation energy (no corrections): 0.46 eV per atom

***

A relaxed structure of PuAlNi2H. Source: Alexandria, functional PBE.

abc: 3.8364 10.5766 6.6791
angles: 90.00 90.00 90.00
With the nearest neighbours (Å) after each atom.
Space group Cmcm (No. 63)
Asymmetric unit:
Pu (0.0000, 0.0629, 0.2500)  4 H 2.63
Al (0.0000, 0.2170, 0.7500)  6 Ni 2.40-2.42
Ni (0.0000, 0.3411, 0.0552)  1 H 1.72
H (0.0000, 0.5000, 0.0000)  2 Ni 1.72

Values from the calculation:
- Spin magnetization: 1.04 μB per atom
- Energy: -0.2549 hartree per atom

***

A relaxed structure of K2PdRu. Source: Alexandria, functional PBE.

abc: 11.9798 11.9798 4.8594
angles: 90.00 90.00 90.00
With the nearest neighbours (Å) after each atom.
Space group I-42d (No. 122)
Asymmetric unit:
K (0.0763, 0.2500, 0.1250)  2 Pd 3.19
Pd (0.0000, 0.0000, 0.0000)  2 Ru 2.43
Ru (0.0000, 0.0000, 0.5000)  2 Pd 2.43

Values from the calculation:
- Spin magnetization: 0.55 μB per atom
- Distance to the lowest polymorph of the same formula: 0 meV/atom
- Energy relative to the elements: 939 meV per atom
- Energy: -0.1186 hartree per atom

***

A relaxed structure of Tb2Tm3Ru2. Source: Alexandria, functional PBE.

abc: 11.8039 3.8532 8.4813
angles: 90.00 114.18 90.00
With the nearest neighbours (Å) after each atom.
Space group C2/m (No. 12)
Asymmetric unit:
Tb (0.1631, 0.0000, 0.3070)  2 Ru 2.78
Tm (0.0000, 0.5000, 0.5000)  4 Ru 2.90
Tm (0.1227, 0.5000, 0.9277)  3 Ru 2.84-2.93
Ru (0.1772, 0.0000, 0.7236)  2 Tb 2.78, 5 Tm 2.84-2.93

Values from the calculation:
- Spin magnetization: 0.00 μB per atom
- Energy relative to the elements: -362 meV per atom
- Energy: -0.2297 hartree per atom

***

A relaxed structure of Nd2TlGeO6. Source: Alexandria, functional PBE.

abc: 5.4773 5.4773 5.2860
angles: 90.00 90.00 90.00
With the nearest neighbours (Å) after each atom.
Space group P4mm (No. 99)
Asymmetric unit:
Nd (0.0000, 0.5000, 0.0000)  4 O 2.36
Tl (0.0000, 0.0000, 0.5343)  5 O 2.26-2.40
Ge (0.5000, 0.5000, 0.6163)  5 O 1.79-1.89
O (0.0000, 0.0000, 0.1067)  1 Tl 2.26
O (0.2731, 0.2731, 0.7475)  1 Ge 1.89
O (0.5000, 0.5000, 0.2768)  1 Ge 1.79

Values from the calculation:
- Spin magnetization: 0.00 μB per atom
- Energy: -0.2481 hartree per atom
- Formation energy (no corrections): -2.13 eV per atom

***

A relaxed structure of AcTm2ScS6. Source: Alexandria, functional PBE.

abc: 6.9162 6.9162 18.3054
angles: 90.00 90.00 120.00
With the nearest neighbours (Å) after each atom.
Space group R3 (No. 146, hexagonal axes)
Asymmetric unit:
Ac (0.0000, 0.0000, 0.0000)  6 S 2.91-3.11
Tm (0.0000, 0.0000, 0.2778)  6 S 2.69-2.73
Tm (0.0000, 0.0000, 0.7898)  6 S 2.65-2.73
Sc (0.0000, 0.0000, 0.4776)  6 S 2.63-2.65
S (0.0214, 0.3474, 0.5458)  1 Sc 2.65, 2 Tm 2.69-2.73
S (0.0274, 0.6138, 0.0484)  1 Sc 2.63, 2 Tm 2.65-2.73, 1 Ac 2.91

Values from the calculation:
- Spin magnetization: 0.00 μB per atom
- Energy: -0.2361 hartree per atom
- Formation energy (no corrections): -2.01 eV per atom

***

A relaxed structure of LiPrGdCu. Source: Alexandria, functional PBE.

abc: 7.2873 7.2873 7.2873
angles: 90.00 90.00 90.00
With the nearest neighbours (Å) after each atom.
Space group F-43m (No. 216)
Asymmetric unit:
Li (0.0000, 0.0000, 0.0000)  4 Gd 3.16, 4 Pr 3.16
Pr (0.2500, 0.2500, 0.7500)  4 Li 3.16, 4 Cu 3.16
Gd (0.2500, 0.2500, 0.2500)  4 Li 3.16, 4 Cu 3.16
Cu (0.0000, 0.0000, 0.5000)  4 Gd 3.16, 4 Pr 3.16

Values from the calculation:
- Spin magnetization: 1.97 μB per atom
- Energy relative to the elements: -3 meV per atom
- Energy: -0.2286 hartree per atom

***

A relaxed structure of Hf4NbRh3. Source: Alexandria, functional PBE.

abc: 3.3389 4.6088 9.3285
angles: 90.00 90.00 90.00
With the nearest neighbours (Å) after each atom.
Space group Pmmm (No. 47)
Asymmetric unit:
Hf (0.0000, 0.0000, 0.0000)  8 Rh 2.79-2.85
Hf (0.0000, 0.0000, 0.5000)  4 Nb 2.85, 4 Rh 2.95
Hf (0.0000, 0.5000, 0.2445)  6 Rh 2.83-2.85, 2 Nb 2.91
Nb (0.5000, 0.5000, 0.5000)  8 Hf 2.85-2.91
Rh (0.5000, 0.0000, 0.2392)  8 Hf 2.79-2.95
Rh (0.5000, 0.5000, 0.0000)  8 Hf 2.83-2.85

Values from the calculation:
- Spin magnetization: 0.00 μB per atom
- Energy relative to the elements: -668 meV per atom
- Energy: -0.3550 hartree per atom

***

A relaxed structure of Ho2MgAg3Te6. Source: Alexandria, functional PBE.

abc: 20.5410 4.2403 8.1421
angles: 90.00 101.67 90.00
With the nearest neighbours (Å) after each atom.
Space group C2/m (No. 12)
Asymmetric unit:
Ho (0.1752, 0.0000, 0.3271)  6 Te 3.06-3.14
Mg (0.0000, 0.5000, 0.0000)  6 Te 2.97-3.02
Ag (0.0000, 0.5000, 0.5000)  4 Te 2.91
Ag (0.2106, 0.0000, 0.8634)  5 Te 2.86-3.05
Te (0.0192, 0.0000, 0.2702)  2 Ag 2.91, 2 Mg 3.02, 1 Ho 3.14
Te (0.1474, 0.5000, 0.0506)  3 Ag 2.86-3.05, 1 Mg 2.97, 2 Ho 3.06
Te (0.1717, 0.5000, 0.5977)  2 Ag 3.02, 3 Ho 3.07-3.08

Values from the calculation:
- Spin magnetization: 0.00 μB per atom
- Energy: -0.1413 hartree per atom
- Formation energy (no corrections): -0.67 eV per atom

***

A relaxed structure of NbHPd. Source: Alexandria, functional PBE.

abc: 2.8657 5.1057 5.6237
angles: 116.05 103.96 90.70
With the nearest neighbours (Å) after each atom.
Space group P-1 (No. 2)
Asymmetric unit:
Nb (0.0943, 0.2913, 0.2382)  3 H 2.02-2.04
H (0.2795, 0.7246, 0.5038)  3 Nb 2.02-2.04, 2 Pd 2.11-2.21
Pd (0.3906, 0.2066, 0.7651)  3 H 2.11-2.28

Values from the calculation:
- Spin magnetization: 0.00 μB per atom
- Distance to the lowest polymorph of the same formula: 45 meV/atom
- Energy: -0.2361 hartree per atom

***

A relaxed structure of Li2LaZr. Source: Alexandria, functional PBE.

abc: 6.4114 9.6225 3.0563
angles: 90.00 90.00 90.00
With the nearest neighbours (Å) after each atom.
Space group Cmmm (No. 65)
Asymmetric unit:
Li (0.2500, 0.2500, 0.0000)  4 Li 3.06-3.21, 4 La 3.27, 4 Zr 3.27
La (0.0000, 0.0000, 0.5000)  2 La 3.06, 2 Zr 3.21, 8 Li 3.27
Zr (0.0000, 0.5000, 0.5000)  2 Zr 3.06, 2 La 3.21, 8 Li 3.27

Values from the calculation:
- Spin magnetization: 0.00 μB per atom
- Distance to the lowest polymorph of the same formula: 155 meV/atom
- Energy relative to the elements: 309 meV per atom
- Energy: -0.1476 hartree per atom

***

A relaxed structure of Th2Tc2Ge3. Source: Alexandria, functional PBE.

abc: 10.0853 4.3023 6.9570
angles: 90.00 110.18 90.00
With the nearest neighbours (Å) after each atom.
Space group C2/m (No. 12)
Asymmetric unit:
Th (0.1545, 0.0000, 0.2664)  3 Tc 2.80-3.12, 3 Ge 3.07
Tc (0.1162, 0.0000, 0.7081)  5 Ge 2.63-2.94, 1 Th 2.80
Ge (0.0000, 0.5000, 0.5000)  4 Tc 2.63, 2 Ge 2.86
Ge (0.1197, 0.5000, 0.9379)  3 Tc 2.67-2.94, 2 Ge 2.83-2.86

Values from the calculation:
- Spin magnetization: 0.00 μB per atom
- Energy relative to the elements: -420 meV per atom
- Energy: -0.2749 hartree per atom

***

A relaxed structure of Pr2BeS3. Source: Alexandria, functional PBE.

abc: 4.0171 4.1670 15.1272
angles: 90.00 90.00 90.00
With the nearest neighbours (Å) after each atom.
Space group Immm (No. 71)
Asymmetric unit:
Pr (0.0000, 0.0000, 0.1353)  7 S 2.87-2.95
Be (0.0000, 0.0000, 0.5000)  2 S 2.08
S (0.0000, 0.0000, 0.3305)  1 Be 2.56
S (0.0000, 0.5000, 0.5000)  2 Be 2.08

Values from the calculation:
- Spin magnetization: 0.00 μB per atom
- Energy: -0.2125 hartree per atom
- Formation energy (no corrections): -1.50 eV per atom

***

A relaxed structure of CuTe2Au. Source: Alexandria, functional PBE.

abc: 3.1446 3.8960 7.8669
angles: 90.00 91.05 90.00
With the nearest neighbours (Å) after each atom.
Space group P2/m (No. 10)
Asymmetric unit:
Cu (0.0000, 0.0000, 0.0000)  4 Te 2.68
Te (0.0409, 0.5000, 0.7676)  2 Cu 2.68, 2 Au 2.87
Au (0.0000, 0.0000, 0.5000)  4 Te 2.87, 2 Au 3.14

Values from the calculation:
- Spin magnetization: 0.00 μB per atom
- Energy: -0.1219 hartree per atom
- Formation energy (no corrections): 0.10 eV per atom

***

A relaxed structure of Dy8SiS6. Source: Alexandria, functional PBE.

abc: 10.0528 10.0528 3.9322
angles: 90.00 90.00 120.00
With the nearest neighbours (Å) after each atom.
Space group P-3 (No. 147)
Asymmetric unit:
Dy (0.0322, 0.7096, 0.2551)  4 S 2.66-2.93
Dy (0.3333, 0.6667, 0.7478)  6 S 2.76
Si (0.0000, 0.0000, 0.5000)  6 Dy 3.24
S (0.1336, 0.4818, 0.2490)  6 Dy 2.66-2.93

Values from the calculation:
- Spin magnetization: 0.00 μB per atom
- Energy: -0.2184 hartree per atom
- Formation energy (no corrections): -1.48 eV per atom

***

A relaxed structure of CaScRe2I. Source: Alexandria, functional PBE.

abc: 4.8567 4.8567 5.4988
angles: 90.00 90.00 90.00
With the nearest neighbours (Å) after each atom.
Space group P4/mmm (No. 123)
Asymmetric unit:
Ca (0.0000, 0.0000, 0.0000)  4 Re 2.43
Sc (0.5000, 0.5000, 0.5000)  4 I 3.43, 8 Re 3.67
Re (0.0000, 0.5000, 0.0000)  2 Ca 2.43
I (0.0000, 0.0000, 0.5000)  2 Ca 2.75

Values from the calculation:
- Spin magnetization: 0.70 μB per atom
- Energy: -0.1729 hartree per atom
- Formation energy (no corrections): 2.25 eV per atom

***

A relaxed structure of BeTl2CrTe. Source: Alexandria, functional PBE.

abc: 5.4642 5.4642 4.6600
angles: 90.00 90.00 90.00
With the nearest neighbours (Å) after each atom.
Space group P4/mmm (No. 123)
Asymmetric unit:
Be (0.0000, 0.0000, 0.0000)  2 Cr 2.33
Tl (0.0000, 0.5000, 0.5000)  2 Cr 2.73
Cr (0.0000, 0.0000, 0.5000)  2 Be 2.33
Te (0.5000, 0.5000, 0.0000)  8 Tl 3.59, 4 Be 3.86

Values from the calculation:
- Spin magnetization: 0.93 μB per atom
- Energy: -0.1294 hartree per atom
- Formation energy (no corrections): 0.72 eV per atom

***

A relaxed structure of LiRh2Se. Source: Alexandria, functional PBE.

abc: 8.8625 3.0637 4.3519
angles: 90.00 106.94 90.00
With the nearest neighbours (Å) after each atom.
Space group Cm (No. 8)
Asymmetric unit:
Li (0.0000, 0.0000, 0.0000)  7 Rh 2.49-2.69, 2 Se 2.77
Rh (0.0085, 0.5000, 0.5125)  3 Se 2.52-2.62, 4 Li 2.64-2.69
Rh (0.2451, 0.5000, 0.1326)  3 Li 2.49-2.58, 4 Se 2.54-2.78
Se (0.2438, 0.0000, 0.6660)  7 Rh 2.52-2.78, 2 Li 2.77

Values from the calculation:
- Spin magnetization: 0.00 μB per atom
- Energy: -0.1929 hartree per atom
- Formation energy (no corrections): -0.22 eV per atom

***

A relaxed structure of LaCe2PN5. Source: Alexandria, functional PBE.

abc: 6.6902 6.6902 10.9163
angles: 90.00 90.00 90.00
With the nearest neighbours (Å) after each atom.
Space group I4/mcm (No. 140)
Asymmetric unit:
La (0.0000, 0.0000, 0.2500)  10 N 2.73-2.81
Ce (0.1823, 0.3177, 0.0000)  4 N 2.40-2.45
P (0.0000, 0.5000, 0.2500)  4 N 1.66
N (0.0000, 0.0000, 0.0000)  4 Ce 2.45, 2 La 2.73
N (0.1356, 0.3644, 0.3471)  1 P 1.66

Values from the calculation:
- Spin magnetization: 0.12 μB per atom
- Energy: -0.3099 hartree per atom
- Formation energy (no corrections): -1.34 eV per atom

***

A relaxed structure of Tb2Pm3Pr6Er. Source: Alexandria, functional PBE.

abc: 6.3502 11.0012 12.0323
angles: 90.00 100.11 90.00
With the nearest neighbours (Å) after each atom.
Space group C2/m (No. 12)
Asymmetric unit:
Tb (0.0000, 0.1667, 0.0000)  6 Pr 3.61, 3 Tb 3.67, 3 Er 3.67
Pm (0.0000, 0.0000, 0.5000)  6 Pm 3.67, 6 Pr 3.67
Pm (0.0000, 0.3334, 0.5000)  6 Pm 3.67, 6 Pr 3.67
Pr (0.2492, 0.3336, 0.2468)  2 Tb 3.61, 1 Er 3.61, 6 Pr 3.66-3.67, 3 Pm 3.67
Pr (0.2498, 0.0000, 0.2470)  1 Er 3.61, 2 Tb 3.61, 6 Pr 3.66-3.67, 3 Pm 3.67
Er (0.0000, 0.5000, 0.0000)  6 Pr 3.61, 6 Tb 3.67

Values from the calculation:
- Spin magnetization: 0.00 μB per atom
- Energy relative to the elements: 13 meV per atom
- Energy: -0.1733 hartree per atom

***

A relaxed structure of MgCdRh2. Source: Alexandria, functional PBE.

abc: 3.1160 4.7245 8.7944
angles: 90.00 90.00 90.00
With the nearest neighbours (Å) after each atom.
Space group Immm (No. 71)
Asymmetric unit:
Mg (0.0000, 0.0000, 0.0000)  4 Rh 2.63, 4 Cd 2.83
Cd (0.0000, 0.0000, 0.5000)  4 Rh 2.76, 4 Mg 2.83
Rh (0.0000, 0.5000, 0.2590)  2 Mg 2.63, 2 Cd 2.76, 4 Rh 2.83

Values from the calculation:
- Spin magnetization: 0.00 μB per atom
- Energy relative to the elements: -132 meV per atom
- Energy: -0.1630 hartree per atom